Record 1
Computed, not measured: crystalline CoW3 at its relaxed geometry at the PBE level of DFT.

Offset from the most stable computed form = 0.110 eV per atom

Unit cell a=8.8041 b=8.8041 c=2.6984 alpha=90.00 beta=90.00 gamma=120.00
Space group R-3m (No. 166, hexagonal axes)
Asymmetric unit:
Co  0.0000  0.0000  0.0000 [3 per cell]
W  0.0000  0.5000  0.0000 [9 per cell]

=====

Record 2
Computed, not measured: crystalline PI2Br2 at its relaxed geometry at the PBE level of DFT.

Offset from the most stable computed form = 0.000 eV per atom

Unit cell a=6.9833 b=6.9833 c=8.9288 alpha=90.00 beta=90.00 gamma=90.00
Space group P4/mbm (No. 127)
Asymmetric unit:
P  0.0000  0.0000  0.0000 [2 per cell]
I  0.1385  0.3615  0.5000 [4 per cell]
Br  0.1949  0.6949  0.0000 [4 per cell]

=====

Record 3
Computed, not measured: crystalline Ce3PrIn12 at its relaxed geometry at the PBE level of DFT.

E = -0.286 Ry per atom

Unit cell a=4.7066 b=4.7066 c=18.9065 alpha=90.00 beta=90.00 gamma=90.00
Space group P4/mmm (No. 123)
Asymmetric unit:
Ce  0.0000  0.0000  0.0000 [1 per cell]
Ce  0.0000  0.0000  0.2495 [2 per cell]
Pr  0.0000  0.0000  0.5000 [1 per cell]
In  0.0000  0.5000  0.1247 [4 per cell]
In  0.0000  0.5000  0.3734 [4 per cell]
In  0.5000  0.5000  0.0000 [1 per cell]
In  0.5000  0.5000  0.2490 [2 per cell]
In  0.5000  0.5000  0.5000 [1 per cell]